Record 1
This record from Alexandria describes Pr3ScTl after structural relaxation. The functional is PBE-GGA.

The structure in POSCAR format:
```
Pr3ScTl
1.0
-5.021 8.713 2.178
-2.629 0.345 -7.440
-5.802 -4.181 3.352
Tl Pr Sc
4 12 4
Cartesian
-7.948 0.234 -2.633
-2.809 0.548 -0.991
-5.504 4.643 0.724
-10.643 4.328 -0.918
-8.131 7.608 -4.309
-8.776 5.773 1.543
-8.000 -0.143 2.698
-8.907 3.465 -3.690
-5.880 7.446 -1.131
-4.545 1.412 1.781
-7.572 -2.569 -0.779
-5.321 -2.731 2.400
-7.979 2.329 0.333
-4.676 -0.897 -3.452
-5.452 5.020 -4.607
-5.473 2.547 -2.242
-4.211 2.058 -5.786
-9.241 2.819 3.876
-7.655 5.082 -1.520
-5.797 -0.205 -0.390
```

Properties
total magnetization: 0.00 μB/f.u.
density: 7.07 g/cm³
symmetry: No. 64

***

Record 2
This record from Alexandria describes Pr2ScTl2 after structural relaxation. The functional is PBE-GGA.

The structure in POSCAR format:
```
Pr2ScTl2
1.0
4.681 0.000 0.000
2.341 5.886 0.214
2.341 1.783 5.613
Sc Pr Tl
1 2 2
Cartesian
0.000 0.000 0.000
2.341 2.311 1.756
7.022 5.357 4.071
4.681 2.886 4.161
4.681 4.782 1.667
```

Properties
total magnetization: 1.14 μB/f.u.
density: 7.99 g/cm³
symmetry: No. 71
energy above the most stable polymorph in this dataset: 0.011 eV per atom

***

Record 3
This record from Alexandria describes PrSc5Tl6 after structural relaxation. The functional is PBE-GGA.

The structure in POSCAR format:
```
PrSc5Tl6
1.0
-4.942 1.021 -1.280
-1.945 -6.654 2.201
2.151 5.571 6.725
Sc Tl Pr
5 6 1
Cartesian
-3.878 -1.891 2.874
-0.858 1.829 4.772
-0.973 -3.327 1.100
-2.888 1.400 1.679
-1.848 -1.462 5.966
-1.888 -3.978 4.114
-0.951 -0.772 3.054
-2.995 -1.282 -0.047
-3.785 0.710 4.591
-2.848 3.915 3.531
-3.892 -4.351 0.968
0.000 0.000 0.000
```

Properties
total magnetization: 0.00 μB/f.u.
density: 8.95 g/cm³
symmetry: No. 71

***

Record 4
This record from Alexandria describes Pr3ScTl2 after structural relaxation. The functional is PBE-GGA.

The structure in POSCAR format:
```
Pr3ScTl2
1.0
-4.441 1.379 -0.335
0.690 1.105 -4.597
-0.401 -9.099 0.235
Tl Pr Sc
2 3 1
Cartesian
-1.326 -5.210 -3.934
-2.825 -1.405 -0.762
-3.698 -4.409 -1.615
-1.875 1.242 -2.466
-0.452 -2.205 -3.081
0.000 0.000 0.000
```

Properties
total magnetization: 0.00 μB/f.u.
density: 7.71 g/cm³
symmetry: No. 71
energy above the most stable polymorph in this dataset: 0.000 eV per atom

***

Number 1: electronic total energy -92.54 eV/cell. Number 2: electronic total energy -21.99 eV/cell. Number 3: electronic total energy -53.80 eV/cell. Number 4: electronic total energy -26.85 eV/cell.